# 1
Entry from Alexandria via LeMat-Bulk: an optimized crystal structure of SrZnCd2Ag (PBE-GGA).

## Properties
Total energy = -1.7416 eV/atom
SG = Imm2, No. 44

abc: 4.563 4.504 6.825
angles: 109.27 109.53 90.00
Fractional coordinates of all 5 atoms:
1 Cd 0.698 0.198 0.395
2 Cd 0.050 0.050 0.099
3 Zn 0.827 0.827 0.654
4 Ag 0.203 0.703 0.406
5 Sr 0.435 0.435 0.870

# 2
Entry from Alexandria via LeMat-Bulk: an optimized crystal structure of Sr2Zn3CdAg4 (PBE-GGA).

## Properties
Total energy = -2.1675 eV/atom
SG = P-4m2, No. 115

abc: 4.602 4.602 11.000
angles: 90.00 90.00 90.00
Fractional coordinates of all 10 atoms:
1 Sr 0.000 0.500 0.758
2 Sr 0.500 0.000 0.242
3 Ag 0.000 0.000 0.000
4 Ag 0.500 0.500 0.000
5 Ag 0.000 0.500 0.357
6 Ag 0.500 0.000 0.643
7 Zn 0.500 0.000 0.879
8 Zn 0.000 0.500 0.121
9 Zn 0.000 0.000 0.500
10 Cd 0.500 0.500 0.500

# 3
Entry from Alexandria via LeMat-Bulk: an optimized crystal structure of SrZn2CdAg5 (PBE-GGA).

## Properties
Total energy = -2.1459 eV/atom
SG = P4/mmm, No. 123

abc: 5.043 5.043 7.614
angles: 90.00 90.00 90.00
Fractional coordinates of all 9 atoms:
1 Zn 0.500 0.500 0.839
2 Zn 0.500 0.500 0.161
3 Ag 0.000 0.500 0.787
4 Ag 0.500 0.500 0.500
5 Ag 0.500 0.000 0.213
6 Ag 0.000 0.500 0.213
7 Ag 0.500 0.000 0.787
8 Cd 0.000 0.000 0.000
9 Sr 0.000 0.000 0.500

# 4
Entry from Alexandria via LeMat-Bulk: an optimized crystal structure of SrZnCd2Ag (PBE-GGA).

## Properties
Total energy = -1.5828 eV/atom
SG = P4/mmm, No. 123

abc: 5.094 5.094 5.108
angles: 90.00 90.00 90.00
Fractional coordinates of all 5 atoms:
1 Ag 0.000 0.000 0.500
2 Cd 0.000 0.500 0.000
3 Cd 0.500 0.000 0.000
4 Zn 0.000 0.000 0.000
5 Sr 0.500 0.500 0.500

# 5
Entry from Alexandria via LeMat-Bulk: an optimized crystal structure of Sr2Zn3CdAg12 (PBE-GGA).

## Properties
Total energy = -2.1709 eV/atom
SG = R-3m, No. 166

abc: 8.333 8.333 8.333
angles: 66.00 66.00 66.00
Fractional coordinates of all 18 atoms:
1 Zn 0.000 0.000 0.500
2 Zn 0.500 0.000 0.000
3 Zn 0.000 0.500 0.000
4 Ag 0.350 0.350 0.985
5 Ag 0.985 0.350 0.350
6 Ag 0.862 0.364 0.862
7 Ag 0.350 0.985 0.350
8 Ag 0.015 0.650 0.650
9 Ag 0.650 0.015 0.650
10 Ag 0.636 0.138 0.138
11 Ag 0.138 0.138 0.636
12 Ag 0.138 0.636 0.138
13 Ag 0.862 0.862 0.364
14 Ag 0.650 0.650 0.015
15 Ag 0.364 0.862 0.862
16 Sr 0.395 0.395 0.395
17 Sr 0.605 0.605 0.605
18 Cd 0.000 0.000 0.000

# 6
Entry from Alexandria via LeMat-Bulk: an optimized crystal structure of SrZnCdAg2 (PBE-GGA).

## Properties
Total energy = -2.1257 eV/atom
SG = Imm2, No. 44

abc: 4.515 4.398 6.773
angles: 108.95 109.47 90.00
Fractional coordinates of all 5 atoms:
1 Ag 0.046 0.046 0.092
2 Ag 0.698 0.198 0.395
3 Cd 0.197 0.697 0.394
4 Sr 0.442 0.442 0.884
5 Zn 0.829 0.829 0.659

no.,M_tot (μB per cell),formation energy from the elements (meV per atom),calculated volume (Å³ per atom)
1,0.00,-214,24.766
2,0.00,-217,23.294
3,0.00,10,21.513
4,0.00,-55,26.505
5,0.00,180,25.683
6,0.00,-211,23.811